Here is a relaxed GePd3Cl crystal from the Alexandria database. Energies are from PBE-GGA.

a = 4.7057 Å, b = 4.7057 Å, c = 4.7057 Å
α = 90.00°, β = 90.00°, γ = 90.00°
Closest atoms and distances in Å follow each position.
Atoms (fractional coordinates):
Ge 0.0000 0.0000 0.0000  6 Pd 2.35
Pd 0.0000 0.5000 0.0000  2 Ge 2.35
Pd 0.0000 0.0000 0.5000  2 Ge 2.35
Pd 0.5000 0.0000 0.0000  2 Ge 2.35
Cl 0.5000 0.5000 0.5000  12 Pd 3.33

Results
- Total moment: 0.0 μB/cell
- E_form (uncorrected): 0.229 eV/atom
- Energy relative to the lowest polymorph listed for this composition: 0 meV per atom
- Symmetry: Pm-3m



Here is a relaxed GePd2Cl crystal from the Alexandria database. Energies are from PBE-GGA.

a = 4.5334 Å, b = 4.5334 Å, c = 4.5334 Å
α = 60.00°, β = 60.00°, γ = 60.00°
Closest atoms and distances in Å follow each position.
Atoms (fractional coordinates):
Ge 0.5000 0.5000 0.5000  8 Pd 2.78
Pd 0.2500 0.2500 0.2500  4 Ge 2.78, 4 Cl 2.78
Pd 0.7500 0.7500 0.7500  4 Cl 2.78, 4 Ge 2.78
Cl 0.0000 0.0000 0.0000  8 Pd 2.78

Results
- Total moment: 0.0 μB/cell
- E_form (uncorrected): -0.091 eV/atom
- Energy relative to the lowest polymorph listed for this composition: 0 meV per atom
- Symmetry: Fm-3m



Here is a relaxed Ge2PdCl8 crystal from the Alexandria database. Energies are from PBE-GGA.

a = 7.9406 Å, b = 6.5467 Å, c = 7.9406 Å
α = 87.88°, β = 76.15°, γ = 87.88°
Closest atoms and distances in Å follow each position.
Atoms (fractional coordinates):
Ge 0.1984 0.3730 0.1984  4 Cl 2.16-2.21
Ge 0.8016 0.6270 0.8016  4 Cl 2.16-2.21
Pd 0.0000 0.0000 0.0000  2 Cl 2.51
Cl 0.6851 0.7995 0.0338  1 Ge 2.19
Cl 0.9662 0.2005 0.3149  1 Ge 2.19
Cl 0.1241 0.6868 0.1241  1 Ge 2.21
Cl 0.8759 0.3132 0.8759  1 Ge 2.21
Cl 0.0338 0.7995 0.6851  1 Ge 2.19
Cl 0.3149 0.2005 0.9662  1 Ge 2.19
Cl 0.3715 0.3595 0.3715  1 Ge 2.16
Cl 0.6285 0.6405 0.6285  1 Ge 2.16

Results
- Total moment: 0.1 μB/cell
- E_form (uncorrected): -0.649 eV/atom
- Symmetry: C2/m



Here is a relaxed Ge3PdCl crystal from the Alexandria database. Energies are from PBE-GGA.

a = 4.8672 Å, b = 4.8672 Å, c = 4.8672 Å
α = 90.00°, β = 90.00°, γ = 90.00°
Closest atoms and distances in Å follow each position.
Atoms (fractional coordinates):
Ge 0.0000 0.5000 0.0000  2 Cl 2.43
Ge 0.0000 0.0000 0.5000  2 Cl 2.43
Ge 0.5000 0.0000 0.0000  2 Cl 2.43
Pd 0.5000 0.5000 0.5000  12 Ge 3.44
Cl 0.0000 0.0000 0.0000  6 Ge 2.43

Results
- Total moment: 0.0 μB/cell
- E_form (uncorrected): 0.820 eV/atom
- Energy relative to the lowest polymorph listed for this composition: 610 meV per atom
- Symmetry: Pm-3m



Here is a relaxed Ge3PdCl crystal from the Alexandria database. Energies are from PBE-GGA.

a = 4.9368 Å, b = 4.9368 Å, c = 4.9368 Å
α = 90.00°, β = 90.00°, γ = 90.00°
Closest atoms and distances in Å follow each position.
Atoms (fractional coordinates):
Ge 0.0000 0.5000 0.0000  2 Pd 2.47
Ge 0.0000 0.0000 0.5000  2 Pd 2.47
Ge 0.5000 0.0000 0.0000  2 Pd 2.47
Pd 0.0000 0.0000 0.0000  6 Ge 2.47
Cl 0.5000 0.5000 0.5000  12 Ge 3.49

Results
- Total moment: 0.0 μB/cell
- E_form (uncorrected): 0.210 eV/atom
- Energy relative to the lowest polymorph listed for this composition: 0 meV per atom
- Symmetry: Pm-3m



Here is a relaxed GePdS2Cl crystal from the Alexandria database. Energies are from PBE-GGA.

a = 4.7389 Å, b = 4.7389 Å, c = 4.7491 Å
α = 90.00°, β = 90.00°, γ = 90.00°
Closest atoms and distances in Å follow each position.
Atoms (fractional coordinates):
Ge 0.5000 0.5000 0.5000  4 Cl 3.35, 8 S 3.35
S 0.0000 0.5000 0.0000  2 Pd 2.37
S 0.5000 0.0000 0.0000  2 Pd 2.37
Pd 0.0000 0.0000 0.0000  4 S 2.37, 2 Cl 2.37
Cl 0.0000 0.0000 0.5000  2 Pd 2.37

Results
- Total moment: 0.0 μB/cell
- E_form (uncorrected): 0.241 eV/atom
- Energy relative to the lowest polymorph listed for this composition: 0 meV per atom
- Symmetry: P4/mmm



Here is a relaxed Sn2GePdCl crystal from the Alexandria database. Energies are from PBE-GGA.

a = 5.4689 Å, b = 4.7179 Å, c = 5.4689 Å
α = 90.00°, β = 90.00°, γ = 90.00°
Closest atoms and distances in Å follow each position.
Atoms (fractional coordinates):
Ge 0.0000 0.0000 0.0000  2 Pd 2.36
Sn 0.0000 0.0000 0.5000  2 Ge 2.73
Sn 0.5000 0.0000 0.0000  2 Ge 2.73
Pd 0.0000 0.5000 0.0000  2 Ge 2.36
Cl 0.5000 0.5000 0.5000  8 Sn 3.61, 4 Pd 3.87

Results
- Total moment: 0.0 μB/cell
- E_form (uncorrected): 0.156 eV/atom
- Symmetry: P4/mmm



Here is a relaxed Pm4Ge3Cl crystal from the Alexandria database. Energies are from PBE-GGA.

a = 5.9658 Å, b = 5.9658 Å, c = 5.9658 Å
α = 90.00°, β = 90.00°, γ = 90.00°
Closest atoms and distances in Å follow each position.
Atoms (fractional coordinates):
Pm 0.5000 0.0000 0.0000  4 Ge 2.98, 2 Cl 2.98
Pm 0.0000 0.5000 0.0000  4 Ge 2.98, 2 Cl 2.98
Pm 0.0000 0.0000 0.5000  4 Ge 2.98, 2 Cl 2.98
Pm 0.5000 0.5000 0.5000  6 Ge 2.98
Ge 0.0000 0.5000 0.5000  6 Pm 2.98
Ge 0.5000 0.0000 0.5000  6 Pm 2.98
Ge 0.5000 0.5000 0.0000  6 Pm 2.98
Cl 0.0000 0.0000 0.0000  6 Pm 2.98

Results
- Total moment: 0.0 μB/cell
- E_form (uncorrected): -1.039 eV/atom
- Symmetry: Pm-3m



Here is a relaxed PmGeCl6 crystal from the Alexandria database. Energies are from PBE-GGA.

a = 7.0226 Å, b = 7.0226 Å, c = 6.4962 Å
α = 97.53°, β = 97.53°, γ = 124.74°
Closest atoms and distances in Å follow each position.
Atoms (fractional coordinates):
Pm 0.0000 0.0000 0.0000  6 Cl 2.71-2.75
Ge 0.5000 0.5000 0.5000  6 Cl 2.48-2.50
Cl 0.2572 0.2572 0.7378  1 Ge 2.50, 1 Pm 2.71
Cl 0.4142 0.1344 0.2708  1 Ge 2.48, 1 Pm 2.75
Cl 0.7428 0.7428 0.2622  1 Ge 2.50, 1 Pm 2.71
Cl 0.8656 0.5858 0.7292  1 Ge 2.48, 1 Pm 2.75
Cl 0.5858 0.8656 0.7292  1 Ge 2.48, 1 Pm 2.75
Cl 0.1344 0.4142 0.2708  1 Ge 2.48, 1 Pm 2.75

Results
- Total moment: 0.0 μB/cell
- E_form (uncorrected): -1.404 eV/atom
- Symmetry: C2/m



Here is a relaxed Pm5Ge2Cl2 crystal from the Alexandria database. Energies are from PBE-GGA.

a = 5.5166 Å, b = 8.3102 Å, c = 5.9903 Å
α = 111.30°, β = 90.00°, γ = 109.38°
Closest atoms and distances in Å follow each position.
Atoms (fractional coordinates):
Pm 0.3882 0.7765 0.1799  3 Cl 2.91-3.13, 3 Ge 2.97-3.07
Pm 0.6118 0.2235 0.8201  3 Cl 2.91-3.13, 3 Ge 2.97-3.07
Pm 0.1896 0.3791 0.4664  2 Cl 2.87-3.14, 3 Ge 3.08, 1 Pm 3.20
Pm 0.8104 0.6209 0.5336  2 Cl 2.87-3.14, 3 Ge 3.08, 1 Pm 3.20
Pm 0.0000 0.0000 0.0000  2 Cl 2.90, 2 Pm 3.20
Ge 0.4021 0.8042 0.6880  6 Pm 2.97-3.08
Ge 0.5979 0.1958 0.3120  6 Pm 2.97-3.08
Cl 0.1725 0.3451 0.9259  6 Pm 2.87-3.14
Cl 0.8275 0.6549 0.0741  6 Pm 2.87-3.14

Results
- Total moment: 0.5 μB/cell
- E_form (uncorrected): -0.925 eV/atom
- Symmetry: C2/m



Here is a relaxed PmGeCl2 crystal from the Alexandria database. Energies are from PBE-GGA.

a = 4.3019 Å, b = 4.3019 Å, c = 8.3577 Å
α = 75.09°, β = 75.09°, γ = 60.00°
Closest atoms and distances in Å follow each position.
Atoms (fractional coordinates):
Ge 0.5000 0.5000 0.5000  6 Cl 2.78
Cl 0.1146 0.1146 0.6562  1 Pm 2.74, 3 Ge 2.78
Cl 0.8854 0.8854 0.3438  1 Pm 2.74, 3 Ge 2.78
Pm 0.0000 0.0000 0.0000  2 Cl 2.74

Results
- Total moment: 0.0 μB/cell
- E_form (uncorrected): -0.362 eV/atom
- Symmetry: R-3m



Here is a relaxed Pm12Ge5Cl2 crystal from the Alexandria database. Energies are from PBE-GGA.

a = 7.5911 Å, b = 9.2863 Å, c = 9.1325 Å
α = 103.34°, β = 90.00°, γ = 114.12°
Closest atoms and distances in Å follow each position.
Atoms (fractional coordinates):
Pm 0.9932 0.9864 0.1885  1 Ge 2.82, 2 Cl 2.82
Pm 0.0782 0.6635 0.9052  1 Cl 2.78, 3 Ge 2.98-3.11
Pm 0.5853 0.6635 0.9052  1 Cl 2.78, 3 Ge 2.98-3.11
Pm 0.0995 0.7054 0.4334  4 Ge 3.02-3.16
Pm 0.6058 0.7054 0.4334  4 Ge 3.02-3.16
Pm 0.4950 0.9900 0.7326  2 Cl 2.90, 2 Ge 3.04-3.16
Pm 0.5050 0.0100 0.2674  2 Cl 2.90, 2 Ge 3.04-3.16
Pm 0.9005 0.2946 0.5666  4 Ge 3.02-3.16
Pm 0.3942 0.2946 0.5666  4 Ge 3.02-3.16
Pm 0.9218 0.3365 0.0948  1 Cl 2.78, 3 Ge 2.98-3.11
Pm 0.4147 0.3365 0.0948  1 Cl 2.78, 3 Ge 2.98-3.11
Pm 0.0068 0.0136 0.8115  1 Ge 2.82, 2 Cl 2.82
Ge 0.3025 0.6049 0.6486  7 Pm 2.98-3.16
Ge 0.3199 0.6398 0.1594  7 Pm 3.04-3.11
Ge 0.0000 0.0000 0.5000  6 Pm 2.82-3.06
Ge 0.6801 0.3602 0.8406  7 Pm 3.04-3.11
Ge 0.6975 0.3951 0.3514  7 Pm 2.98-3.16
Cl 0.7092 0.0000 0.0000  6 Pm 2.78-2.90
Cl 0.2908 0.0000 0.0000  6 Pm 2.78-2.90

Results
- Total moment: 0.0 μB/cell
- E_form (uncorrected): -0.680 eV/atom
- Symmetry: C2/m



- The highest E_form (uncorrected) belongs to which entry?
  number 4